Density functional theory data (PBE with a Hubbard U) for a relaxed structure of SrSmV4O12.

abc: 5.353 5.353 7.547
angles: 90.00 90.00 90.00
Fractional coordinates of all 18 atoms:
1 Sr 0.000 0.000 0.000
2 Sm 0.500 0.500 0.500
3 V 0.000 0.500 0.250
4 V 0.000 0.500 0.750
5 V 0.500 0.000 0.250
6 V 0.500 0.000 0.750
7 O 0.000 0.500 0.000
8 O 0.000 0.500 0.500
9 O 0.254 0.254 0.257
10 O 0.254 0.254 0.743
11 O 0.254 0.746 0.257
12 O 0.254 0.746 0.743
13 O 0.500 0.000 0.000
14 O 0.500 0.000 0.500
15 O 0.746 0.254 0.257
16 O 0.746 0.254 0.743
17 O 0.746 0.746 0.257
18 O 0.746 0.746 0.743

Computed properties:
Final energy, hartree per atom: -0.275
ρ, Mg/m³: 4.87
Total magnetization, μB/atom: 0.02
DOS at the Fermi energy, states/eV/f.u.: 2.24